BaAc8Ir6, relaxed, DFT PBE; energy of formation from the pure elements = -0.480 eV/atom; ρ = 10.0 g cm⁻³
1.0
-4.515 6.152 -0.359
-6.889 -0.503 -3.263
-7.883 -0.588 7.791
Ba Ac Ir
1 8 6
Direct
0.000 0.000 0.000
0.776 0.439 0.676
0.891 0.224 0.324
0.561 0.891 0.324
0.333 0.333 0.000
0.667 0.667 0.000
0.439 0.109 0.676
0.109 0.776 0.676
0.224 0.561 0.324
0.938 0.594 0.186
0.718 0.062 0.814
0.406 0.718 0.814
0.594 0.282 0.186
0.282 0.938 0.186
0.062 0.406 0.814

BaAc2Ir, relaxed, DFT PBE; ΔE to the lowest computed polymorph = 207.9 meV/atom; energy of formation from the pure elements = -0.237 eV/atom; ρ = 8.3 g cm⁻³
1.0
3.834 0.000 0.000
0.000 3.834 0.000
0.000 0.000 10.720
Ac Ir Ba
2 1 1
Direct
0.000 0.000 0.841
0.000 0.000 0.159
0.500 0.500 0.000
0.500 0.500 0.500

BaAcIr2, relaxed, DFT PBE; energy of formation from the pure elements = 0.172 eV/atom; ρ = 10.3 g cm⁻³
1.0
4.333 0.000 0.000
2.167 3.753 0.000
2.167 1.251 7.400
Ac Ir Ba
1 2 1
Direct
0.000 0.000 0.000
0.258 0.258 0.227
0.742 0.742 0.773
0.500 0.500 0.500

BaNaAcIr, relaxed, DFT PBE; energy of formation from the pure elements = -0.255 eV/atom; ρ = 5.7 g cm⁻³
1.0
-1.310 2.358 3.495
2.673 -3.473 0.554
7.960 5.561 -3.546
Ba Na Ac Ir
1 1 1 1
Direct
0.525 0.160 0.701
0.962 0.379 0.356
0.076 0.936 0.027
0.315 0.555 0.885

no.,M_tot (μB/f.u.),raw total energy (eV per atom)
1,0.00,-6.34
2,0.00,-4.99
3,1.06,-5.77
4,0.00,-4.31